AsIr2Cl: PBEsol geometry, meta-GGA SCAN.

POSCAR file:
```
AsIr2Cl
1.0
-0.9747 1.5225 -3.1394
-3.3438 -1.3384 0.3891
0.8944 3.7196 3.6164
Cl Ir As
1 2 1
Cartesian
-2.3043 1.2366 1.3152
-1.1198 2.6671 -0.4491
0.0000 0.0000 0.0000
-2.1593 0.0920 -1.3751
```

- VASP energy (eV per atom) = -41.6143
- formation energy (no corrections) (eV/atom) = 0.98
- energy above the most stable polymorph in this dataset (eV/atom) = 0.6171
- crystal system = tetragonal

MnIn2Se: PBEsol geometry, meta-GGA SCAN.

POSCAR file:
```
MnIn2Se
1.0
-0.4426 -2.2620 -2.6896
3.2784 -1.2422 0.5052
-2.3045 -4.4169 4.0940
In Mn Se
2 1 1
Cartesian
-0.5513 -1.0566 0.9793
-1.7533 -3.3603 3.1147
1.4179 -1.7521 -1.0922
0.2656 -3.9606 0.9548
```

- VASP energy (eV per atom) = -26.2549
- formation energy (no corrections) (eV/atom) = 0.02
- crystal system = tetragonal

Sb2H2Au: PBEsol geometry, meta-GGA SCAN.

POSCAR file:
```
Sb2H2Au
1.0
-3.4653 -1.2358 1.4723
2.7589 -0.0307 6.4680
-2.0057 6.6812 0.8872
Sb Au H
4 2 4
Cartesian
1.4892 0.9541 4.3062
-0.3083 2.3622 1.2571
-0.7360 5.6964 3.0491
1.0616 4.2883 6.0981
0.0000 0.0000 0.0000
0.3766 3.3252 3.6776
-0.6311 3.6140 6.8812
-2.4624 5.1344 3.8470
-2.0810 1.8007 1.9463
-0.2498 0.2803 4.9805
```

- VASP energy (eV per atom) = -29.9447
- crystal system = tetragonal

Ca4MgB4H6C2O18: PBEsol geometry, meta-GGA SCAN.

POSCAR file:
```
Ca4MgB4H6C2O18
1.0
-1.2308 4.2383 -0.6583
-5.4917 -2.5357 -6.0584
-2.8833 -1.2237 9.1746
B O C H Mg Ca
4 18 2 6 1 4
Cartesian
-4.8544 0.1619 -5.0055
-7.7348 -1.6350 1.6467
-1.8682 1.5407 -1.7111
-1.8710 2.1138 0.8113
-2.9243 0.4034 4.0821
-7.3228 -1.9360 3.0671
-6.8983 0.1507 4.0859
-6.2605 0.5783 -4.9970
-8.0778 -0.2947 1.3967
-4.3771 -0.2674 2.4794
-3.9942 -1.5580 4.2727
-4.9880 1.0327 6.1932
-1.5280 0.7736 1.0612
-6.6815 0.0755 -1.6241
-5.6116 2.0369 -1.8147
-2.2830 2.4148 -0.6091
-5.2287 0.7463 -0.0214
-3.3453 -0.0994 7.4550
-2.7075 0.3282 -1.6279
-6.5813 -2.0832 0.7888
-4.6178 -0.5538 -3.7353
-3.0245 2.5620 1.6692
-3.7789 -0.4644 3.6198
-5.8269 0.9432 -1.1618
-6.3114 -1.3225 0.2257
-7.0851 0.6367 4.9067
-3.2944 1.8014 2.2322
-5.9510 1.1603 6.1578
-2.5207 -0.1578 -2.4488
-3.6548 -0.6815 -3.6998
0.0000 0.0000 0.0000
-6.3911 1.2281 2.0342
-3.4450 2.5884 5.2844
-3.2147 -0.7492 0.4238
-6.1608 -2.1096 -2.8264
```

- VASP energy (eV per atom) = -8.7854
- crystal system = monoclinic